Compound: K3Ta2CrO9
Source: the Alexandria database
Functional: GGA+U
Structure: relaxed Values from VASP.

Values from the calculation:
Mass density (Mg/m³): 5.90
E (eV per atom): -7.470
Space group: P-3m1, No. 164

The structure in Quantum ESPRESSO input format:
```
&SYSTEM
  ibrav = 0, nat = 15, ntyp = 4
/
ATOMIC_SPECIES
K 39.10 K.upf
O 16.00 O.upf
Cr 52.00 Cr.upf
Ta 180.95 Ta.upf
CELL_PARAMETERS angstrom
-1.292 2.584 -4.835
4.757 -2.988 0.413
-3.367 -5.654 -2.122
ATOMIC_POSITIONS angstrom
K 0.500 -4.894 -2.749
K 0.000 0.000 0.000
K -0.401 -1.163 -3.795
O -0.646 1.292 -2.418
O -2.533 -2.086 -5.381
O -1.878 -3.395 -2.930
O 2.379 -1.494 0.206
O -0.122 -3.600 -5.172
O 2.631 -3.972 -1.163
O 1.732 -0.202 -2.211
O 1.976 -2.662 -3.614
O 0.220 -2.457 -1.372
Cr -1.683 -2.827 -1.061
Ta 2.153 -2.117 -1.707
Ta -2.055 -3.941 -4.837
```